! Dy4HgPd3 | Alexandria | PBE | optimized geometry; values from VASP
&SYSTEM
  ibrav = 0, nat = 8, ntyp = 3
/
ATOMIC_SPECIES
Dy 162.50 Dy.upf
Pd 106.42 Pd.upf
Hg 200.59 Hg.upf
CELL_PARAMETERS angstrom
-4.695 1.113 1.478
-1.022 0.617 4.903
-0.218 8.565 1.474
ATOMIC_POSITIONS crystal
Dy 0.129 0.129 0.613
Dy 0.871 0.871 0.387
Pd 0.253 0.253 0.241
Hg 0.000 0.000 0.000
Dy 0.380 0.380 0.861
Dy 0.620 0.620 0.139
Pd 0.500 0.500 0.500
Pd 0.747 0.747 0.759
! - Final energy: -5.06 eV per atom
! - Crystal system: trigonal

***

! Dy3Hg4Pd4 | Alexandria | PBE | optimized geometry; values from VASP
&SYSTEM
  ibrav = 0, nat = 11, ntyp = 3
/
ATOMIC_SPECIES
Pd 106.42 Pd.upf
Dy 162.50 Dy.upf
Hg 200.59 Hg.upf
CELL_PARAMETERS angstrom
-1.514 -2.627 -1.997
5.766 -4.981 2.181
-6.680 1.418 6.501
ATOMIC_POSITIONS crystal
Pd 0.500 0.808 0.000
Dy 0.110 0.110 0.220
Pd 0.500 0.192 0.000
Hg 0.342 0.528 0.683
Pd 0.255 0.755 0.511
Hg 0.658 0.845 0.317
Pd 0.745 0.245 0.489
Hg 0.658 0.472 0.317
Dy 0.000 0.500 0.000
Dy 0.890 0.890 0.780
Hg 0.342 0.155 0.683
! - Final energy: -3.82 eV per atom
! - Crystal system: orthorhombic

***

! Dy6Hg2Pd | Alexandria | PBE | optimized geometry; values from VASP
&SYSTEM
  ibrav = 0, nat = 9, ntyp = 3
/
ATOMIC_SPECIES
Dy 162.50 Dy.upf
Hg 200.59 Hg.upf
Pd 106.42 Pd.upf
CELL_PARAMETERS angstrom
-2.923 0.801 4.046
-1.647 -6.944 0.184
8.118 1.806 2.352
ATOMIC_POSITIONS crystal
Dy 0.840 0.085 0.680
Hg 0.667 0.667 0.335
Hg 0.333 0.333 0.665
Dy 0.500 0.761 0.000
Dy 0.160 0.915 0.320
Dy 0.500 0.239 0.000
Dy 0.160 0.405 0.320
Pd 0.000 0.000 0.000
Dy 0.840 0.595 0.680
! - Energy relative to the lowest polymorph listed for this composition: 110 meV per atom
! - Crystal system: orthorhombic

***

! Dy2HgPd | Alexandria | PBE | optimized geometry; values from VASP
&SYSTEM
  ibrav = 0, nat = 4, ntyp = 3
/
ATOMIC_SPECIES
Pd 106.42 Pd.upf
Dy 162.50 Dy.upf
Hg 200.59 Hg.upf
CELL_PARAMETERS angstrom
5.112 0.000 0.000
2.556 4.427 0.000
2.556 1.476 4.174
ATOMIC_POSITIONS crystal
Pd 0.500 0.500 0.500
Dy 0.750 0.750 0.750
Hg 0.000 0.000 0.000
Dy 0.250 0.250 0.250
! - Energy relative to the lowest polymorph listed for this composition: 38 meV per atom
! - Crystal system: cubic

***

! Dy2Hg3Pd8 | Alexandria | PBE | optimized geometry; values from VASP
&SYSTEM
  ibrav = 0, nat = 13, ntyp = 3
/
ATOMIC_SPECIES
Hg 200.59 Hg.upf
Pd 106.42 Pd.upf
Dy 162.50 Dy.upf
CELL_PARAMETERS angstrom
-1.730 0.957 5.219
4.108 -5.364 2.345
3.727 6.709 -2.090
ATOMIC_POSITIONS crystal
Hg 0.000 0.281 0.000
Hg 0.500 0.000 0.000
Pd 0.426 0.972 0.312
Dy 0.272 0.324 0.648
Hg 0.000 0.719 0.000
Pd 0.938 0.144 0.287
Pd 0.574 0.660 0.688
Pd 0.574 0.028 0.688
Pd 0.208 0.685 0.370
Pd 0.062 0.856 0.713
Pd 0.426 0.340 0.312
Dy 0.728 0.676 0.352
Pd 0.792 0.315 0.630
! - Final energy: -4.28 eV per atom
! - Crystal system: monoclinic

***

! DyPuHgPd | Alexandria | PBE | optimized geometry; values from VASP
&SYSTEM
  ibrav = 0, nat = 4, ntyp = 4
/
ATOMIC_SPECIES
Dy 162.50 Dy.upf
Hg 200.59 Hg.upf
Pd 106.42 Pd.upf
Pu 244.00 Pu.upf
CELL_PARAMETERS angstrom
5.147 0.000 0.000
2.573 4.457 0.000
2.573 1.486 4.202
ATOMIC_POSITIONS crystal
Dy 0.250 0.250 0.250
Hg 0.000 0.000 0.000
Pd 0.500 0.500 0.500
Pu 0.750 0.750 0.750
! - Final energy: -6.50 eV per atom
! - Crystal system: cubic